The following is a DFT calculation (PBE-GGA) of a geometry-optimized Ta4TlTe structure.

Output
- E_form (uncorrected) (eV per atom) = 0.57
- E (eV per atom) = -8.2502
- spin magnetization (μB per atom) = 0.000
- space group = F-43m

abc: 5.6329 5.6329 5.6329
angles: 60.00 60.00 60.00
Sites, in units of the cell vectors:
Ta 0.3736 0.8793 0.3736
Ta 0.3736 0.3736 0.3736
Ta 0.8793 0.3736 0.3736
Ta 0.3736 0.3736 0.8793
Tl 0.0000 0.0000 0.0000
Te 0.7500 0.7500 0.7500



The following is a DFT calculation (PBE-GGA) of a geometry-optimized TaTlTe2 structure.

Output
- E_form (uncorrected) (eV per atom) = 0.23
- E (eV per atom) = -4.8931
- spin magnetization (μB per atom) = 0.000
- space group = P4mm

abc: 3.3629 3.3629 9.4820
angles: 90.00 90.00 90.00
Sites, in units of the cell vectors:
Te 0.0000 0.0000 0.9266
Te 0.5000 0.5000 0.2606
Tl 0.0000 0.0000 0.5485
Ta 0.5000 0.5000 0.7643



The following is a DFT calculation (PBE-GGA) of a geometry-optimized TaTl2Te structure.

Output
- E_form (uncorrected) (eV per atom) = 0.56
- E (eV per atom) = -4.3680
- spin magnetization (μB per atom) = 0.001
- space group = R-3m

abc: 11.4134 11.4134 11.4134
angles: 16.16 16.16 16.16
Sites, in units of the cell vectors:
Te 0.7500 0.7500 0.7500
Tl 0.5089 0.5089 0.5089
Tl 0.9911 0.9911 0.9911
Ta 0.2500 0.2500 0.2500



The following is a DFT calculation (PBE-GGA) of a geometry-optimized TaTlTe2 structure.

Output
- E_form (uncorrected) (eV per atom) = 0.17
- E (eV per atom) = -4.9595
- spin magnetization (μB per atom) = 0.500
- space group = I-42d

abc: 8.1637 8.1637 7.1798
angles: 55.35 55.35 90.00
Site moments in Bohr magnetons follow the coordinates.
Sites, in units of the cell vectors:
Tl 0.7500 0.2500 0.5000  0.02
Tl 0.0000 0.0000 0.0000  0.02
Te 0.3750 0.4477 0.7500  -0.04
Te 0.5523 0.1250 0.2500  -0.05
Te 0.8750 0.8023 0.7500  -0.04
Te 0.1977 0.6250 0.2500  -0.04
Ta 0.5000 0.5000 0.0000  1.31
Ta 0.2500 0.7500 0.5000  1.32



The following is a DFT calculation (PBE-GGA) of a geometry-optimized TaTl2Te structure.

Output
- E_form (uncorrected) (eV per atom) = 0.58
- E (eV per atom) = -4.3480
- spin magnetization (μB per atom) = 0.000
- space group = C2/m

abc: 5.0555 6.3400 3.5402
angles: 75.09 86.86 112.54
Sites, in units of the cell vectors:
Ta 0.0000 0.5000 0.5000
Te 0.5000 0.5000 0.0000
Tl 0.0000 0.0000 0.0000
Tl 0.5000 0.0000 0.5000



The following is a DFT calculation (PBE-GGA) of a geometry-optimized TaTl2Te structure.

Output
- E_form (uncorrected) (eV per atom) = 0.37
- E (eV per atom) = -4.5637
- spin magnetization (μB per atom) = 0.000
- space group = Amm2

abc: 4.7909 3.6590 6.0552
angles: 72.45 90.00 90.00
Sites, in units of the cell vectors:
Ta 0.0000 0.6940 0.4882
Te 0.5000 0.5644 0.7467
Tl 0.0000 0.9556 0.9623
Tl 0.5000 0.2860 0.3028



The following is a DFT calculation (PBE-GGA) of a geometry-optimized TaTl3Te structure.

Output
- E_form (uncorrected) (eV per atom) = 1.49
- E (eV per atom) = -2.9312
- spin magnetization (μB per atom) = 0.767
- space group = Pm-3m

abc: 6.0120 6.0120 6.0120
angles: 90.00 90.00 90.00
Site moments in Bohr magnetons follow the coordinates.
Sites, in units of the cell vectors:
Ta 0.5000 0.5000 0.5000  2.27
Tl 0.0000 0.5000 0.0000  0.01
Tl 0.5000 0.0000 0.0000  0.00
Tl 0.0000 0.0000 0.5000  0.02
Te 0.0000 0.0000 0.0000  0.02



The following is a DFT calculation (PBE-GGA) of a geometry-optimized TaTlTe2 structure.

Output
- E_form (uncorrected) (eV per atom) = -0.02
- E (eV per atom) = -5.1431
- spin magnetization (μB per atom) = 0.000
- space group = Cm

abc: 5.1652 5.1652 7.1590
angles: 70.83 70.83 40.69
Sites, in units of the cell vectors:
Te 0.7695 0.7695 0.7766
Te 0.9244 0.9244 0.1534
Ta 0.2282 0.2282 0.0860
Tl 0.5779 0.5779 0.4840



The following is a DFT calculation (PBE-GGA) of a geometry-optimized TaTlTe2 structure.

Output
- E_form (uncorrected) (eV per atom) = 0.64
- E (eV per atom) = -4.4859
- spin magnetization (μB per atom) = 0.453
- space group = I-4m2

abc: 5.9452 5.9452 5.9452
angles: 135.50 135.50 64.76
Site moments in Bohr magnetons follow the coordinates.
Sites, in units of the cell vectors:
Tl 0.5000 0.5000 0.0000  0.03
Te 0.0000 0.0000 0.0000  -0.07
Te 0.2500 0.7500 0.5000  -0.05
Ta 0.7500 0.2500 0.5000  1.29



The following is a DFT calculation (PBE-GGA) of a geometry-optimized TaTl2Te structure.

Output
- E_form (uncorrected) (eV per atom) = 0.30
- E (eV per atom) = -4.6359
- spin magnetization (μB per atom) = 0.000
- space group = Imm2

abc: 7.5769 7.5769 4.9610
angles: 70.92 70.92 25.37
Sites, in units of the cell vectors:
Tl 0.1783 0.1783 0.3220
Tl 0.0114 0.0114 0.9884
Te 0.8276 0.8276 0.6725
Ta 0.4827 0.4827 0.5171



The following is a DFT calculation (PBE-GGA) of a geometry-optimized TaTl2Te structure.

Output
- E_form (uncorrected) (eV per atom) = 0.14
- E (eV per atom) = -4.7867
- spin magnetization (μB per atom) = 0.000
- space group = P4mm

abc: 3.3637 3.3637 9.4091
angles: 90.00 90.00 90.00
Sites, in units of the cell vectors:
Te 0.5000 0.5000 0.6805
Tl 0.5000 0.5000 0.2910
Tl 0.0000 0.0000 0.0150
Ta 0.0000 0.0000 0.5135



The following is a DFT calculation (PBE-GGA) of a geometry-optimized TaTl2Te structure.

Output
- E_form (uncorrected) (eV per atom) = 0.58
- E (eV per atom) = -4.3473
- spin magnetization (μB per atom) = 0.000
- space group = P4/mmm

abc: 3.0623 3.0623 11.0897
angles: 90.00 90.00 90.00
Sites, in units of the cell vectors:
Tl 0.0000 0.0000 0.4605
Tl 0.0000 0.0000 0.0395
Te 0.5000 0.5000 0.7500
Ta 0.5000 0.5000 0.2500



The following is a DFT calculation (PBE-GGA) of a geometry-optimized TaTl2Te structure.

Output
- E_form (uncorrected) (eV per atom) = 0.58
- E (eV per atom) = -4.3523
- spin magnetization (μB per atom) = 0.000
- space group = Cmmm

abc: 3.0818 3.0818 10.9266
angles: 90.00 90.00 99.47
Sites, in units of the cell vectors:
Tl 0.0000 0.0000 0.4640
Tl 0.0000 0.0000 0.0360
Te 0.5000 0.5000 0.7500
Ta 0.5000 0.5000 0.2500



The following is a DFT calculation (PBE-GGA) of a geometry-optimized TaTlTe2 structure.

Output
- E_form (uncorrected) (eV per atom) = -0.14
- E (eV per atom) = -5.2697
- spin magnetization (μB per atom) = 0.000
- space group = P2/m

abc: 3.4732 3.4843 9.2596
angles: 68.17 90.00 90.00
Sites, in units of the cell vectors:
Te 0.0000 0.4395 0.5593
Te 0.0000 0.0605 0.9407
Tl 0.5000 0.2500 0.2500
Ta 0.5000 0.7500 0.7500



The following is a DFT calculation (PBE-GGA) of a geometry-optimized TaTl2Te structure.

Output
- E_form (uncorrected) (eV per atom) = 0.69
- E (eV per atom) = -4.2395
- spin magnetization (μB per atom) = 0.323
- space group = I-4m2

abc: 5.5251 5.5251 5.5251
angles: 129.10 129.10 74.86
Site moments in Bohr magnetons follow the coordinates.
Sites, in units of the cell vectors:
Te 0.7500 0.2500 0.5000  -0.02
Tl 0.0000 0.0000 0.0000  0.00
Tl 0.2500 0.7500 0.5000  0.02
Ta 0.5000 0.5000 0.0000  0.88



The following is a DFT calculation (PBE-GGA) of a geometry-optimized TaTl2Te structure.

Output
- E_form (uncorrected) (eV per atom) = 0.36
- E (eV per atom) = -4.5724
- spin magnetization (μB per atom) = 0.051
- space group = C2/m

abc: 8.0321 8.0321 4.6053
angles: 73.44 73.44 23.49
Site moments in Bohr magnetons follow the coordinates.
Sites, in units of the cell vectors:
Ta 0.2500 0.2500 0.2500  0.13
Tl 0.5656 0.5656 0.4342  0.00
Tl 0.9344 0.9344 0.0658  0.00
Te 0.7500 0.7500 0.7500  0.00



The following is a DFT calculation (PBE-GGA) of a geometry-optimized TaTl2Te structure.

Output
- E_form (uncorrected) (eV per atom) = 0.57
- E (eV per atom) = -4.3574
- spin magnetization (μB per atom) = 0.000
- space group = Pmmm

abc: 3.4062 5.1252 5.6803
angles: 90.00 90.00 90.00
Sites, in units of the cell vectors:
Tl 0.0000 0.0000 0.0000
Tl 0.5000 0.5000 0.0000
Ta 0.5000 0.0000 0.5000
Te 0.0000 0.5000 0.5000



The following is a DFT calculation (PBE-GGA) of a geometry-optimized TaTlTe2 structure.

Output
- E_form (uncorrected) (eV per atom) = 0.53
- E (eV per atom) = -4.5997
- spin magnetization (μB per atom) = 0.000
- space group = C2/m

abc: 5.3936 5.3936 3.5422
angles: 82.27 82.27 94.78
Sites, in units of the cell vectors:
Tl 0.5000 0.0000 0.5000
Te 0.0000 0.0000 0.0000
Te 0.5000 0.5000 0.0000
Ta 0.0000 0.5000 0.5000



The following is a DFT calculation (PBE-GGA) of a geometry-optimized Ta4TlTe8 structure.

Output
- E_form (uncorrected) (eV per atom) = -0.25
- E (eV per atom) = -6.0157
- spin magnetization (μB per atom) = 0.000
- space group = C2/m

abc: 3.6820 9.6152 10.2734
angles: 84.11 79.68 78.96
Sites, in units of the cell vectors:
Te 0.5514 0.6752 0.2219
Te 0.8900 0.6566 0.5635
Te 0.1415 0.3468 0.3703
Te 0.1646 0.0079 0.6628
Te 0.2007 0.7068 0.8917
Te 0.8307 0.2966 0.0421
Te 0.4800 0.3281 0.7119
Te 0.8668 0.9955 0.2709
Ta 0.3528 0.8513 0.4432
Ta 0.8335 0.5007 0.8322
Ta 0.6787 0.1521 0.4906
Ta 0.1979 0.5026 0.1016
Tl 0.5157 0.0017 0.9668



The following is a DFT calculation (PBE-GGA) of a geometry-optimized TaTl2Te structure.

Output
- E_form (uncorrected) (eV per atom) = 0.69
- E (eV per atom) = -4.2409
- spin magnetization (μB per atom) = 0.000
- space group = P4/mmm

abc: 5.9727 4.1645 4.1645
angles: 90.00 90.00 90.00
Sites, in units of the cell vectors:
Te 0.5000 0.0000 0.5000
Tl 0.0000 0.0000 0.0000
Tl 0.0000 0.5000 0.5000
Ta 0.5000 0.5000 0.0000